Record 1
Entry from Alexandria: a PBEsol-optimized structure of Cd5Cu (meta-GGA SCAN).

Results
ΔH_f (0 K): 0.051 eV/atom
excess energy over the best structure of this formula in the dataset: 0.0 meV per atom
total energy: -27.828 eV/atom

Cell lengths 4.591, 5.323, 5.323 Å; angles 120.00, 90.00, 90.00 degrees
Atoms (fractional coordinates):
Cu  0.500  0.000  0.000
Cd  0.500  0.667  0.333
Cd  0.500  0.333  0.667
Cd  0.000  0.316  0.316
Cd  0.000  0.000  0.684
Cd  0.000  0.684  0.000



Record 2
Entry from Alexandria: a PBEsol-optimized structure of Si2TeSe (meta-GGA SCAN).

Results
E_form (uncorrected): 357 meV/atom
excess energy over the best structure of this formula in the dataset: 322.3 meV per atom
total energy: -18.984 eV/atom

Cell lengths 3.472, 3.534, 8.606 Å; angles 90.00, 90.00, 119.42 degrees
Atoms (fractional coordinates):
Se  0.500  0.000  0.826
Te  0.000  0.000  0.442
Si  0.500  0.000  0.219
Si  0.000  0.000  0.013



Record 3
Entry from Alexandria: a PBEsol-optimized structure of SiTePtRh2 (meta-GGA SCAN).

Results
E_form (uncorrected): 1467 meV/atom
total energy: -35.534 eV/atom

Cell lengths 4.706, 4.706, 4.915 Å; angles 90.00, 90.00, 90.00 degrees
Atoms (fractional coordinates):
Te  0.000  0.000  0.000
Si  0.000  0.000  0.500
Pt  0.500  0.500  0.500
Rh  0.500  0.000  0.000
Rh  0.000  0.500  0.000



Record 4
Entry from Alexandria: a PBEsol-optimized structure of Ba2CoTe (meta-GGA SCAN).

Results
E_form (uncorrected): -538 meV/atom
total energy: -33.952 eV/atom

Cell lengths 4.770, 4.770, 6.732 Å; angles 90.00, 90.00, 90.00 degrees
Site moments in Bohr magnetons follow the coordinates.
Atoms (fractional coordinates):
Ba  0.000  0.000  0.877  -0.02
Co  0.000  0.000  0.374  1.86
Te  0.500  0.500  0.875  -0.01
Ba  0.500  0.500  0.375  -0.10



Record 5
Entry from Alexandria: a PBEsol-optimized structure of LaZnMo (meta-GGA SCAN).

Results
ΔH_f (0 K): 0.734 eV/atom
total energy: -29.768 eV/atom

Cell lengths 4.519, 4.519, 4.519 Å; angles 60.00, 60.00, 60.00 degrees
Site moments in Bohr magnetons follow the coordinates.
Atoms (fractional coordinates):
Zn  0.000  0.000  0.000  -0.02
Mo  0.250  0.250  0.250  1.06
La  0.500  0.500  0.500  0.02



Record 6
Entry from Alexandria: a PBEsol-optimized structure of Sr4InIr (meta-GGA SCAN).

Results
ΔH_f (0 K): 0.793 eV/atom
total energy: -31.471 eV/atom

Cell lengths 6.346, 6.346, 6.346 Å; angles 60.00, 60.00, 60.00 degrees
Atoms (fractional coordinates):
In  0.750  0.750  0.750
Sr  0.374  0.879  0.374
Ir  0.000  0.000  0.000
Sr  0.374  0.374  0.879
Sr  0.879  0.374  0.374
Sr  0.374  0.374  0.374



Record 7
Entry from Alexandria: a PBEsol-optimized structure of Ce2CrN3 (meta-GGA SCAN).

Results
E_form (uncorrected): -1491 meV/atom
total energy: -24.056 eV/atom

Cell lengths 3.399, 3.694, 6.717 Å; angles 105.96, 104.66, 90.00 degrees
Site moments in Bohr magnetons follow the coordinates.
Atoms (fractional coordinates):
Ce  0.353  0.353  0.706  0.06
N  0.837  0.837  0.674  -0.01
N  0.163  0.163  0.326  -0.01
Ce  0.647  0.647  0.294  0.06
Cr  0.000  0.000  0.000  2.14
N  0.000  0.500  0.000  -0.08



Record 8
Entry from Alexandria: a PBEsol-optimized structure of LaSc2Co2 (meta-GGA SCAN).

Results
ΔH_f (0 K): 0.137 eV/atom
total energy: -21.100 eV/atom

Cell lengths 4.545, 4.545, 5.884 Å; angles 112.72, 112.72, 90.00 degrees
Site moments in Bohr magnetons follow the coordinates.
Atoms (fractional coordinates):
Co  0.250  0.750  0.500  0.74
Sc  0.339  0.339  0.677  -0.01
La  0.000  0.000  0.000  0.00
Co  0.750  0.250  0.500  0.74
Sc  0.661  0.661  0.323  -0.01



Record 9
Entry from Alexandria: a PBEsol-optimized structure of LaAgAu (meta-GGA SCAN).

Results
ΔH_f (0 K): -0.639 eV/atom
excess energy over the best structure of this formula in the dataset: 72.0 meV per atom
total energy: -48.516 eV/atom

Cell lengths 3.806, 3.806, 5.434 Å; angles 110.50, 110.50, 90.00 degrees
Atoms (fractional coordinates):
Ag  0.009  0.009  0.019
La  0.329  0.329  0.658
Au  0.662  0.662  0.323



Record 10
Entry from Alexandria: a PBEsol-optimized structure of Sc2AgPb (meta-GGA SCAN).

Results
ΔH_f (0 K): -0.487 eV/atom
total energy: -34.392 eV/atom

Cell lengths 3.933, 4.631, 4.631 Å; angles 89.97, 90.00, 90.00 degrees
Site moments in Bohr magnetons follow the coordinates.
Atoms (fractional coordinates):
Sc  0.000  0.500  0.000  0.21
Sc  0.000  0.000  0.500  0.21
Ag  0.500  0.000  0.000  0.01
Pb  0.500  0.500  0.500  -0.01



Record 11
Entry from Alexandria: a PBEsol-optimized structure of InRe3Ru (meta-GGA SCAN).

Results
ΔH_f (0 K): 3.464 eV/atom
total energy: -52.837 eV/atom

Cell lengths 4.662, 4.662, 4.662 Å; angles 90.00, 90.00, 90.00 degrees
Site moments in Bohr magnetons follow the coordinates.
Atoms (fractional coordinates):
Re  0.000  0.500  0.000  -0.23
Re  0.000  0.000  0.500  -0.23
Re  0.500  0.000  0.000  -0.23
Ru  0.500  0.500  0.500  2.47
In  0.000  0.000  0.000  0.01



Record 12
Entry from Alexandria: a PBEsol-optimized structure of K2V3P4O17 (meta-GGA SCAN).

Results
E_form (uncorrected): -2563 meV/atom
total energy: -10.896 eV/atom

Cell lengths 4.972, 9.206, 16.580 Å; angles 93.65, 90.00, 90.00 degrees
Site moments in Bohr magnetons follow the coordinates.
Atoms (fractional coordinates):
P  0.219  0.309  0.426  0.01
O  0.894  0.669  0.375  0.00
O  0.012  0.378  0.375  0.01
P  0.200  0.690  0.573  0.01
O  0.839  0.867  0.018  0.00
K  0.789  0.003  0.330  0.00
K  0.211  0.503  0.830  0.00
K  0.224  0.501  0.170  0.00
O  0.618  0.122  0.837  0.01
O  0.495  0.853  0.905  0.00
O  0.808  0.635  0.091  0.00
O  0.038  0.375  0.663  0.01
O  0.473  0.831  0.124  0.00
V  0.313  0.001  0.500  1.05
O  0.591  0.122  0.124  0.01
O  0.210  0.857  0.575  0.01
P  0.769  0.800  0.103  0.01
O  0.193  0.143  0.425  0.01
P  0.800  0.190  0.073  0.01
O  0.409  0.622  0.624  0.01
O  0.293  0.051  0.251  -0.12
P  0.810  0.199  0.897  0.01
O  0.636  0.008  0.502  -0.12
O  0.713  0.450  0.248  -0.12
O  0.707  0.551  0.751  -0.12
O  0.263  0.634  0.481  0.00
O  0.988  0.878  0.875  0.01
P  0.781  0.809  0.926  0.01
V  0.720  0.508  0.656  1.03
O  0.161  0.367  0.518  0.00
K  0.776  0.001  0.670  0.00
O  0.915  0.644  0.594  0.00
V  0.280  0.008  0.156  1.03
V  0.300  0.991  0.844  1.03
O  0.790  0.357  0.075  0.01
O  0.382  0.622  0.337  0.01
O  0.287  0.950  0.748  -0.12
O  0.106  0.169  0.875  0.00
O  0.737  0.134  0.981  0.00
V  0.687  0.501  0.000  1.05
O  0.505  0.353  0.405  0.00
P  0.190  0.699  0.397  0.01
O  0.771  0.364  0.907  0.00
O  0.192  0.135  0.591  0.00
O  0.962  0.875  0.163  0.01
O  0.364  0.508  0.002  -0.12
O  0.085  0.144  0.094  0.00
O  0.229  0.864  0.407  0.00
O  0.807  0.643  0.925  0.01
V  0.700  0.491  0.344  1.03
O  0.527  0.331  0.624  0.00
P  0.231  0.300  0.603  0.01



no.,ρ (g cm⁻³),Fermi-level density of states (states/eV/f.u.)
1,9.2,1.440
2,4.7,0.964
3,8.5,6.954
4,5.0,1.993
5,7.6,2.662
6,6.0,1.982
7,7.9,3.593
8,5.7,3.521
9,10.8,1.303
10,8.0,2.739
11,12.7,3.595
12,2.7,0.000